one:
TlNi2HPd | PBE | optimized geometry

CIF file:
```
data_TlNi2HPd
_chemical_formula_sum 'Tl1 Ni2 H1 Pd1'
_symmetry_space_group_name_H-M 'P 4/m m m'
_symmetry_Int_Tables_number 123
_symmetry_space_group_name_Hall '-P 4 2'
_cell_length_a 4.871
_cell_length_b 4.871
_cell_length_c 3.203
_cell_angle_alpha 90.00
_cell_angle_beta 90.00
_cell_angle_gamma 90.00
loop_
_atom_site_label
_atom_site_type_symbol
_atom_site_fract_x
_atom_site_fract_y
_atom_site_fract_z
_atom_site_occupancy
Tl1 Tl 0.000 0.000 0.000 1
Ni1 Ni 0.000 0.500 0.500 1
H1 H 0.500 0.500 0.000 1
Pd1 Pd 0.500 0.500 0.500 1
```

Properties
theoretical density = 9.4 Mg/m³


two:
TlNi2HPd | PBE | optimized geometry

CIF file:
```
data_TlNi2HPd
_chemical_formula_sum 'Tl1 Ni2 H1 Pd1'
_symmetry_space_group_name_H-M 'P 4/m m m'
_symmetry_Int_Tables_number 123
_symmetry_space_group_name_Hall '-P 4 2'
_cell_length_a 3.950
_cell_length_b 3.950
_cell_length_c 3.925
_cell_angle_alpha 90.00
_cell_angle_beta 90.00
_cell_angle_gamma 90.00
loop_
_atom_site_label
_atom_site_type_symbol
_atom_site_fract_x
_atom_site_fract_y
_atom_site_fract_z
_atom_site_occupancy
Tl1 Tl 0.000 0.000 0.000 1
Ni1 Ni 0.000 0.500 0.500 1
H1 H 0.500 0.500 0.500 1
Pd1 Pd 0.500 0.500 0.000 1
```

Properties
theoretical density = 11.6 Mg/m³


Most stable structure - two; separation to the second - 566 meV/atom.


one:
ZnNi2HPd | PBE | optimized geometry

CIF file:
```
data_ZnNi2HPd
_chemical_formula_sum 'Zn1 Ni2 H1 Pd1'
_symmetry_space_group_name_H-M 'P 4/m m m'
_symmetry_Int_Tables_number 123
_symmetry_space_group_name_Hall '-P 4 2'
_cell_length_a 3.612
_cell_length_b 3.612
_cell_length_c 4.074
_cell_angle_alpha 90.00
_cell_angle_beta 90.00
_cell_angle_gamma 90.00
loop_
_atom_site_label
_atom_site_type_symbol
_atom_site_fract_x
_atom_site_fract_y
_atom_site_fract_z
_atom_site_occupancy
Zn1 Zn 0.000 0.000 0.000 1
Ni1 Ni 0.000 0.500 0.500 1
H1 H 0.000 0.000 0.500 1
Pd1 Pd 0.500 0.500 0.000 1
```

Properties
theoretical density = 9.1 Mg/m³


two:
ZnNi2HPd | PBE | optimized geometry

CIF file:
```
data_ZnNi2HPd
_chemical_formula_sum 'Zn1 Ni2 H1 Pd1'
_symmetry_space_group_name_H-M 'P 4/m m m'
_symmetry_Int_Tables_number 123
_symmetry_space_group_name_Hall '-P 4 2'
_cell_length_a 3.675
_cell_length_b 3.675
_cell_length_c 3.938
_cell_angle_alpha 90.00
_cell_angle_beta 90.00
_cell_angle_gamma 90.00
loop_
_atom_site_label
_atom_site_type_symbol
_atom_site_fract_x
_atom_site_fract_y
_atom_site_fract_z
_atom_site_occupancy
Zn1 Zn 0.000 0.000 0.000 1
Ni1 Ni 0.000 0.500 0.500 1
H1 H 0.500 0.500 0.500 1
Pd1 Pd 0.500 0.500 0.000 1
```

Properties
theoretical density = 9.1 Mg/m³


Most stable structure - two; separation to the second - 80 meV/atom.